Record 1
NpZn4Ag: optimized geometry, PBE-GGA.

Properties
- spin magnetization (μB/cell) = 4.76
- D(E_F) (states/eV/f.u.) = 9.16
- density (g/cm³) = 9.297
- DFT total energy (eV for the cell shown) = -20.14
- space-group type = F-43m (216)

abc: 5.3507 5.3507 5.3507
angles: 60.00 60.00 60.00
Last column: magnetic moment on the atom in μB.
Sites, in units of the cell vectors:
Np: 0.0000 0.0000 0.0000  4.12
Zn: 0.6246 0.6246 0.1261  0.04
Zn: 0.6246 0.1261 0.6246  0.04
Zn: 0.6246 0.6246 0.6246  0.04
Zn: 0.1261 0.6246 0.6246  0.04
Ag: 0.2500 0.2500 0.2500  0.06

---

Record 2
YHBr3: optimized geometry, PBE-GGA.

Properties
- spin magnetization (μB/cell) = 1.00
- D(E_F) (states/eV/f.u.) = 0.00
- density (g/cm³) = 3.130
- DFT total energy (eV for the cell shown) = -19.71
- space-group type = Pm-3m (221)

abc: 5.5920 5.5920 5.5920
angles: 90.00 90.00 90.00
Last column: magnetic moment on the atom in μB.
Sites, in units of the cell vectors:
Y: 0.0000 0.0000 0.0000  0.00
H: 0.5000 0.5000 0.5000  0.38
Br: 0.0000 0.5000 0.0000  0.01
Br: 0.0000 0.0000 0.5000  0.01
Br: 0.5000 0.0000 0.0000  0.01

---

Record 3
AcLaAu2: optimized geometry, PBE-GGA.

Properties
- spin magnetization (μB/cell) = 0.00
- D(E_F) (states/eV/f.u.) = 3.41
- density (g/cm³) = 11.066
- DFT total energy (eV for the cell shown) = -18.66
- space-group type = Fm-3m (225)

abc: 5.4430 5.4430 5.4430
angles: 60.00 60.00 60.00
Sites, in units of the cell vectors:
Ac: 0.0000 0.0000 0.0000
Au: 0.2500 0.2500 0.2500
Au: 0.7500 0.7500 0.7500
La: 0.5000 0.5000 0.5000

---

Record 4
Ce4GeRu4: optimized geometry, PBE-GGA.

Properties
- spin magnetization (μB/cell) = 0.00
- D(E_F) (states/eV/f.u.) = 9.96
- density (g/cm³) = 8.562
- DFT total energy (eV for the cell shown) = -68.14
- space-group type = I4/m (87)

abc: 5.1406 6.7635 6.7635
angles: 81.70 67.67 67.67
Sites, in units of the cell vectors:
Ce: 0.7986 0.6159 0.7869
Ce: 0.2014 0.3841 0.2131
Ce: 0.5855 0.2131 0.6159
Ce: 0.4145 0.7869 0.3841
Ge: 0.0000 0.0000 0.0000
Ru: 0.7400 0.3473 0.1726
Ru: 0.2600 0.6527 0.8274
Ru: 0.9126 0.8274 0.3473
Ru: 0.0874 0.1726 0.6527

---

Record 5
In2MoW: optimized geometry, PBE-GGA.

Properties
- spin magnetization (μB/cell) = 0.00
- D(E_F) (states/eV/f.u.) = 4.46
- density (g/cm³) = 11.630
- DFT total energy (eV for the cell shown) = -26.17
- space-group type = Fm-3m (225)

abc: 4.6854 4.6854 4.6854
angles: 60.00 60.00 60.00
Sites, in units of the cell vectors:
Mo: 0.0000 0.0000 0.0000
W: 0.5000 0.5000 0.5000
In: 0.2500 0.2500 0.2500
In: 0.7500 0.7500 0.7500

---

Record 6
NbFe4Sb: optimized geometry, PBE-GGA.

Properties
- spin magnetization (μB/cell) = 7.79
- D(E_F) (states/eV/f.u.) = 5.18
- density (g/cm³) = 8.721
- DFT total energy (eV for the cell shown) = -48.15
- space-group type = F-43m (216)

abc: 4.9043 4.9043 4.9043
angles: 60.00 60.00 60.00
Last column: magnetic moment on the atom in μB.
Sites, in units of the cell vectors:
Sb: 0.2500 0.2500 0.2500  0.02
Nb: 0.0000 0.0000 0.0000  -0.75
Fe: 0.6261 0.6261 0.1218  2.16
Fe: 0.6261 0.1218 0.6261  2.16
Fe: 0.6261 0.6261 0.6261  2.16
Fe: 0.1218 0.6261 0.6261  2.16

---

Record 7
Sm2DyAu6: optimized geometry, PBE-GGA.

Properties
- spin magnetization (μB/cell) = 0.00
- D(E_F) (states/eV/f.u.) = 6.07
- density (g/cm³) = 12.960
- DFT total energy (eV for the cell shown) = -39.33
- space-group type = P-3m1 (164)

abc: 5.4731 6.6686 6.6685
angles: 120.00 90.00 90.00
Sites, in units of the cell vectors:
Sm: 0.3368 0.6667 0.3333
Sm: 0.6632 0.3333 0.6667
Dy: 0.5000 0.0000 0.0000
Au: 0.8240 0.8105 0.6211
Au: 0.8240 0.8105 0.1895
Au: 0.1760 0.6211 0.8105
Au: 0.8240 0.3789 0.1895
Au: 0.1760 0.1895 0.8105
Au: 0.1760 0.1895 0.3789

---

Record 8
CuReBiTe2: optimized geometry, PBE-GGA.

Properties
- spin magnetization (μB/cell) = 3.06
- D(E_F) (states/eV/f.u.) = 5.00
- density (g/cm³) = 9.196
- DFT total energy (eV for the cell shown) = -21.00
- space-group type = P4/mmm (123)

abc: 5.1616 4.8390 5.1616
angles: 90.00 90.00 90.00
Last column: magnetic moment on the atom in μB.
Sites, in units of the cell vectors:
Re: 0.0000 0.5000 0.0000  2.56
Te: 0.0000 0.0000 0.5000  0.01
Te: 0.5000 0.0000 0.0000  0.01
Bi: 0.5000 0.5000 0.5000  -0.14
Cu: 0.0000 0.0000 0.0000  0.09

---

Record 9
Pa2Be3CoGe4: optimized geometry, PBE-GGA.

Properties
- spin magnetization (μB/cell) = 0.00
- D(E_F) (states/eV/f.u.) = 5.59
- density (g/cm³) = 9.024
- DFT total energy (eV for the cell shown) = -58.95
- space-group type = P-4m2 (115)

abc: 4.1202 4.1202 9.0907
angles: 90.00 90.00 90.00
Sites, in units of the cell vectors:
Pa: 0.5000 0.0000 0.2599
Pa: 0.0000 0.5000 0.7401
Be: 0.0000 0.0000 0.5000
Be: 0.5000 0.0000 0.8764
Be: 0.0000 0.5000 0.1236
Co: 0.5000 0.5000 0.5000
Ge: 0.5000 0.5000 0.0000
Ge: 0.0000 0.0000 0.0000
Ge: 0.5000 0.0000 0.6310
Ge: 0.0000 0.5000 0.3690

---

Record 10
CsTiHgF6: optimized geometry, PBE-GGA.

Properties
- spin magnetization (μB/cell) = 1.94
- D(E_F) (states/eV/f.u.) = 2.87
- density (g/cm³) = 4.222
- DFT total energy (eV for the cell shown) = -90.06
- space-group type = P-31c (163)

abc: 6.4333 6.4333 10.8701
angles: 90.00 90.00 120.00
Last column: magnetic moment on the atom in μB.
Sites, in units of the cell vectors:
Cs: 0.0000 0.0000 0.0000  0.00
Cs: 0.0000 0.0000 0.5000  0.00
Ti: 0.6667 0.3333 0.2500  0.05
Ti: 0.3333 0.6667 0.7500  0.05
Hg: 0.3333 0.6667 0.2500  0.47
Hg: 0.6667 0.3333 0.7500  0.47
F: 0.6564 0.5710 0.1506  0.03
F: 0.9146 0.3436 0.1506  0.03
F: 0.3436 0.9146 0.6506  0.03
F: 0.0854 0.6564 0.8494  0.03
F: 0.4290 0.3436 0.3494  0.03
F: 0.9146 0.5710 0.3494  0.03
F: 0.5710 0.9146 0.8494  0.03
F: 0.6564 0.0854 0.3494  0.03
F: 0.0854 0.4290 0.6506  0.03
F: 0.4290 0.0854 0.1506  0.03
F: 0.5710 0.6564 0.6506  0.03
F: 0.3436 0.4290 0.8494  0.03

---

Record 11
HoZrPd14: optimized geometry, PBE-GGA.

Properties
- spin magnetization (μB/cell) = 0.00
- D(E_F) (states/eV/f.u.) = 21.65
- density (g/cm³) = 11.181
- DFT total energy (eV for the cell shown) = -92.52
- space-group type = P4/mmm (123)

abc: 5.7153 5.7153 7.9385
angles: 90.00 90.00 90.00
Sites, in units of the cell vectors:
Ho: 0.3750 0.3750 0.5000
Zr: 0.8750 0.8750 0.5000
Pd: 0.8750 0.8750 0.0000
Pd: 0.3750 0.3750 0.0000
Pd: 0.8750 0.3750 0.5000
Pd: 0.8750 0.3750 0.0000
Pd: 0.3750 0.8750 0.5000
Pd: 0.3750 0.8750 0.0000
Pd: 0.6281 0.1219 0.2466
Pd: 0.6281 0.1219 0.7534
Pd: 0.1219 0.6281 0.2466
Pd: 0.1219 0.6281 0.7534
Pd: 0.6281 0.6281 0.2467
Pd: 0.6281 0.6281 0.7533
Pd: 0.1219 0.1219 0.2467
Pd: 0.1219 0.1219 0.7533

---

Record 12
Pr2Cu3Sb4Pd: optimized geometry, PBE-GGA.

Properties
- spin magnetization (μB/cell) = 0.00
- D(E_F) (states/eV/f.u.) = 1.94
- density (g/cm³) = 7.952
- DFT total energy (eV for the cell shown) = -48.97
- space-group type = P-4m2 (115)

abc: 4.5763 4.5763 10.6290
angles: 90.00 90.00 90.00
Sites, in units of the cell vectors:
Pr: 0.5000 0.0000 0.2601
Pr: 0.0000 0.5000 0.7399
Cu: 0.0000 0.0000 0.5000
Cu: 0.5000 0.0000 0.8691
Cu: 0.0000 0.5000 0.1309
Sb: 0.5000 0.5000 0.0000
Sb: 0.0000 0.0000 0.0000
Sb: 0.5000 0.0000 0.6334
Sb: 0.0000 0.5000 0.3666
Pd: 0.5000 0.5000 0.5000

---

Record 13
Tm3TiH: optimized geometry, PBE-GGA.

Properties
- spin magnetization (μB/cell) = 1.27
- D(E_F) (states/eV/f.u.) = 5.76
- density (g/cm³) = 8.657
- DFT total energy (eV for the cell shown) = -24.75
- space-group type = Pm-3m (221)

abc: 4.7413 4.7413 4.7413
angles: 90.00 90.00 90.00
Last column: magnetic moment on the atom in μB.
Sites, in units of the cell vectors:
H: 0.0000 0.0000 0.0000  0.00
Tm: 0.0000 0.5000 0.0000  0.00
Tm: 0.0000 0.0000 0.5000  0.00
Tm: 0.5000 0.0000 0.0000  0.00
Ti: 0.5000 0.5000 0.5000  0.95

---

Record 14
WNCl6: optimized geometry, PBE-GGA.

Properties
- spin magnetization (μB/cell) = 5.80
- D(E_F) (states/eV/f.u.) = 0.00
- density (g/cm³) = 2.656
- DFT total energy (eV for the cell shown) = -66.32
- space-group type = C2/c (15)

abc: 7.0465 7.0465 12.7161
angles: 79.67 79.67 56.14
Last column: magnetic moment on the atom in μB.
Sites, in units of the cell vectors:
W: 0.0000 0.5000 0.5000  0.02
W: 0.5000 0.0000 0.0000  0.02
N: 0.1191 0.8809 0.7500  1.94
N: 0.8809 0.1191 0.2500  1.94
Cl: 0.7087 0.4679 0.5987  -0.01
Cl: 0.2913 0.5321 0.4013  -0.01
Cl: 0.5321 0.2913 0.9013  -0.01
Cl: 0.4679 0.7087 0.0987  -0.01
Cl: 0.1894 0.3797 0.6523  -0.01
Cl: 0.8106 0.6203 0.3477  -0.01
Cl: 0.6203 0.8106 0.8477  -0.01
Cl: 0.3797 0.1894 0.1523  -0.01
Cl: 0.8761 0.8097 0.0380  -0.01
Cl: 0.1239 0.1903 0.9620  -0.01
Cl: 0.1903 0.1239 0.4620  -0.01
Cl: 0.8097 0.8761 0.5380  -0.01

---

Record 15
BaCa2InRu: optimized geometry, PBE-GGA.

Properties
- spin magnetization (μB/cell) = 0.00
- D(E_F) (states/eV/f.u.) = 4.49
- density (g/cm³) = 4.395
- DFT total energy (eV for the cell shown) = -18.25
- space-group type = P4/mmm (123)

abc: 5.5000 5.5000 5.4134
angles: 90.00 90.00 90.00
Sites, in units of the cell vectors:
Ru: 0.0000 0.0000 0.0000
Ca: 0.0000 0.5000 0.0000
Ca: 0.5000 0.0000 0.0000
Ba: 0.5000 0.5000 0.5000
In: 0.0000 0.0000 0.5000

---

Record 16
Pr7TlBr12: optimized geometry, PBE-GGA.

Properties
- spin magnetization (μB/cell) = 1.90
- D(E_F) (states/eV/f.u.) = 3.72
- density (g/cm³) = 5.051
- DFT total energy (eV for the cell shown) = -86.91
- space-group type = R-3 (148)

abc: 9.7582 9.7582 9.7582
angles: 109.79 109.79 109.79
Last column: magnetic moment on the atom in μB.
Sites, in units of the cell vectors:
Pr: 0.9334 0.6368 0.8531  0.08
Pr: 0.3632 0.1469 0.0666  0.08
Pr: 0.1469 0.0666 0.3632  0.08
Pr: 0.5000 0.5000 0.5000  0.46
Pr: 0.8531 0.9334 0.6368  0.08
Pr: 0.6368 0.8531 0.9334  0.08
Pr: 0.0666 0.3632 0.1469  0.08
Tl: 0.0000 0.0000 0.0000  0.00
Br: 0.9242 0.2988 0.7851  0.00
Br: 0.7012 0.2149 0.0758  0.00
Br: 0.4893 0.1595 0.3998  0.00
Br: 0.8405 0.6002 0.5107  0.00
Br: 0.2149 0.0758 0.7012  0.00
Br: 0.6002 0.5107 0.8405  0.00
Br: 0.3998 0.4893 0.1595  0.00
Br: 0.7851 0.9242 0.2988  0.00
Br: 0.1595 0.3998 0.4893  0.00
Br: 0.5107 0.8405 0.6002  0.00
Br: 0.2988 0.7851 0.9242  0.00
Br: 0.0758 0.7012 0.2149  0.00

---

Record 17
Cu4MoRh: optimized geometry, PBE-GGA.

Properties
- spin magnetization (μB/cell) = 0.00
- D(E_F) (states/eV/f.u.) = 3.94
- density (g/cm³) = 9.821
- DFT total energy (eV for the cell shown) = -33.88
- space-group type = F-43m (216)

abc: 4.7671 4.7671 4.7671
angles: 60.00 60.00 60.00
Sites, in units of the cell vectors:
Cu: 0.8754 0.3749 0.3749
Cu: 0.3749 0.3749 0.8754
Cu: 0.3749 0.8754 0.3749
Cu: 0.3749 0.3749 0.3749
Mo: 0.7500 0.7500 0.7500
Rh: 0.0000 0.0000 0.0000

---

Record 18
Na2NpCdSe4: optimized geometry, PBE-GGA.

Properties
- spin magnetization (μB/cell) = 3.00
- D(E_F) (states/eV/f.u.) = 9.96
- density (g/cm³) = 5.740
- DFT total energy (eV for the cell shown) = -38.36
- space-group type = P2/m (10)

abc: 4.1465 7.0974 7.4259
angles: 109.71 90.00 90.00
Last column: magnetic moment on the atom in μB.
Sites, in units of the cell vectors:
Na: 0.5000 0.0000 0.5000  0.00
Na: 0.0000 0.5000 0.5000  0.00
Np: 0.5000 0.5000 0.0000  3.41
Cd: 0.0000 0.0000 0.0000  0.00
Se: 0.5000 0.2433 0.2212  -0.08
Se: 0.5000 0.7567 0.7788  -0.08
Se: 0.0000 0.2681 0.7652  -0.09
Se: 0.0000 0.7319 0.2348  -0.09

---

Record 19
ErTm2Pa: optimized geometry, PBE-GGA.

Properties
- spin magnetization (μB/cell) = 0.04
- D(E_F) (states/eV/f.u.) = 7.62
- density (g/cm³) = 10.665
- DFT total energy (eV for the cell shown) = -21.90
- space-group type = P4/mmm (123)

abc: 3.5243 5.7030 5.7030
angles: 90.00 90.00 90.00
Sites, in units of the cell vectors:
Pa: 0.5000 0.5000 0.5000
Tm: 0.0000 0.0000 0.5000
Tm: 0.0000 0.5000 0.0000
Er: 0.5000 0.0000 0.0000

---

Record 20
Ac4Nd2Tl3O2: optimized geometry, PBE-GGA.

Properties
- spin magnetization (μB/cell) = 0.00
- D(E_F) (states/eV/f.u.) = 6.99
- density (g/cm³) = 8.800
- DFT total energy (eV for the cell shown) = -55.03
- space-group type = I4/mmm (139)

abc: 5.1199 5.1199 13.7426
angles: 100.74 100.74 90.00
Sites, in units of the cell vectors:
Ac: 0.4113 0.9113 0.8227
Ac: 0.9113 0.4113 0.8227
Ac: 0.0887 0.5887 0.1773
Ac: 0.5887 0.0887 0.1773
Nd: 0.2990 0.2990 0.5980
Nd: 0.7010 0.7010 0.4020
Tl: 0.0000 0.0000 0.0000
Tl: 0.1789 0.1789 0.3579
Tl: 0.8211 0.8211 0.6421
O: 0.3921 0.3921 0.7842
O: 0.6079 0.6079 0.2158